Density functional theory data (PBE) for a relaxed TcAg2Rh crystal.

Calculated values
Energy relative to the lowest polymorph listed for this composition ... 856 meV per atom
Density ... 9.62 g/cm³
Symmetry ... I-42d
ΔE_f ... 1.021 eV per atom
VASP energy ... -38.67 eV per cell
DOS(E_F) ... 10.6 states/eV per cell

The structure in CIF format:
```
data_TcAg2Rh
_cell_length_a 7.466
_cell_length_b 7.466
_cell_length_c 5.877
_cell_angle_alpha 50.56
_cell_angle_beta 50.56
_cell_angle_gamma 90.00
_space_group_name_H-M_alt 'P 1'
_space_group_IT_number 1
loop_
_space_group_symop_operation_xyz
'x,y,z'
loop_
_atom_site_label
_atom_site_type_symbol
_atom_site_fract_x
_atom_site_fract_y
_atom_site_fract_z
_atom_site_occupancy
Ag1 Ag 0.629 0.125 0.250 1
Ag2 Ag 0.375 0.371 0.750 1
Ag3 Ag 0.875 0.879 0.750 1
Ag4 Ag 0.121 0.625 0.250 1
Rh1 Rh 0.750 0.250 0.500 1
Rh2 Rh 0.000 0.000 0.000 1
Tc1 Tc 0.250 0.750 0.500 1
Tc2 Tc 0.500 0.500 0.000 1
```